1.
Below is a relaxed structure of KPdBrF2, with properties calculated at the GGA-PBE level.

Values from the calculation:
**DOS at the Fermi energy**: 1.19 states/eV/f.u.
**Formation energy from raw total energies**: -1.586 eV per atom

Cell lengths 7.041, 7.041, 7.494 Å; angles 90.00, 90.00, 148.07 degrees
Fractional coordinates of all 10 atoms:
K 0.229 0.771 0.750
K 0.771 0.229 0.250
Pd 0.500 0.500 0.000
Pd 0.500 0.500 0.500
Br 0.019 0.981 0.250
Br 0.981 0.019 0.750
F 0.351 0.649 0.034
F 0.351 0.649 0.466
F 0.649 0.351 0.534
F 0.649 0.351 0.966

2.
Below is a relaxed structure of LaMg2Rh2, with properties calculated at the GGA-PBE level.

Values from the calculation:
**DOS at the Fermi energy**: 2.72 states/eV/f.u.
**Formation enthalpy at 0 K**: -0.412 eV/atom

Cell lengths 7.858, 7.858, 3.070 Å; angles 90.00, 90.00, 90.00 degrees
Fractional coordinates of all 10 atoms:
La 0.000 0.000 0.000
La 0.500 0.500 0.000
Mg 0.122 0.378 0.000
Mg 0.378 0.878 0.000
Mg 0.622 0.122 0.000
Mg 0.878 0.622 0.000
Rh 0.173 0.673 0.500
Rh 0.327 0.173 0.500
Rh 0.673 0.827 0.500
Rh 0.827 0.327 0.500

3.
Below is a relaxed structure of MoIrSe3, with properties calculated at the GGA-PBE level.

Values from the calculation:
**DOS at the Fermi energy**: 3.87 states/eV/f.u.
**Formation energy from raw total energies**: 0.984 eV per atom

Cell lengths 4.886, 4.886, 4.886 Å; angles 90.00, 90.00, 90.00 degrees
Fractional coordinates of all 5 atoms:
Mo 0.000 0.000 0.000
Ir 0.500 0.500 0.500
Se 0.000 0.500 0.500
Se 0.500 0.000 0.500
Se 0.500 0.500 0.000

4.
Below is a relaxed structure of MnSnPHS, with properties calculated at the GGA-PBE level.

Values from the calculation:
**DOS at the Fermi energy**: 1.51 states/eV/f.u.
**Final energy**: -52.43 eV/cell

Cell lengths 9.959, 3.307, 4.739 Å; angles 90.00, 103.39, 90.00 degrees
Fractional coordinates of all 10 atoms:
Mn 0.000 0.000 0.000
Mn 0.500 0.500 0.000
Sn 0.211 0.500 0.878
Sn 0.711 0.000 0.878
P 0.054 0.500 0.339
P 0.554 0.000 0.339
H 0.396 0.500 0.202
H 0.896 0.000 0.202
S 0.413 0.000 0.644
S 0.913 0.500 0.644

5.
Below is a relaxed structure of YAs3Ru, with properties calculated at the GGA-PBE level.

Values from the calculation:
**DOS at the Fermi energy**: 5.43 states/eV/f.u.
**Formation enthalpy at 0 K**: 0.002 eV/atom

Cell lengths 4.831, 4.831, 4.831 Å; angles 90.00, 90.00, 90.00 degrees
Fractional coordinates of all 5 atoms:
Y 0.000 0.000 0.000
As 0.000 0.500 0.500
As 0.500 0.000 0.500
As 0.500 0.500 0.000
Ru 0.500 0.500 0.500

6.
Below is a relaxed structure of Y2ScPd, with properties calculated at the GGA-PBE level.

Values from the calculation:
**DOS at the Fermi energy**: 3.90 states/eV/f.u.
**Formation enthalpy at 0 K**: 0.079 eV/atom

Cell lengths 3.359, 3.359, 32.249 Å; angles 90.00, 90.00, 120.00 degrees
Fractional coordinates of all 12 atoms:
Y 0.000 0.000 0.082
Y 0.000 0.000 0.918
Y 0.333 0.667 0.585
Y 0.333 0.667 0.748
Y 0.667 0.333 0.252
Y 0.667 0.333 0.415
Sc 0.000 0.000 0.500
Sc 0.333 0.667 0.167
Sc 0.667 0.333 0.833
Pd 0.000 0.000 0.000
Pd 0.333 0.667 0.667
Pd 0.667 0.333 0.333

7.
Below is a relaxed structure of Ac8HgGe3I4, with properties calculated at the GGA-PBE level.

Values from the calculation:
**DOS at the Fermi energy**: 8.70 states/eV/f.u.
**Formation energy from raw total energies**: -0.915 eV per atom

Cell lengths 9.613, 9.613, 9.613 Å; angles 58.53, 58.53, 58.53 degrees
Fractional coordinates of all 16 atoms:
Ac 0.231 0.739 0.739
Ac 0.235 0.235 0.235
Ac 0.261 0.261 0.769
Ac 0.261 0.769 0.261
Ac 0.739 0.231 0.739
Ac 0.739 0.739 0.231
Ac 0.765 0.765 0.765
Ac 0.769 0.261 0.261
Hg 0.500 0.500 0.500
Ge 0.000 0.000 0.500
Ge 0.000 0.500 0.000
Ge 0.500 0.000 0.000
I 0.000 0.000 0.000
I 0.000 0.500 0.500
I 0.500 0.000 0.500
I 0.500 0.500 0.000

8.
Below is a relaxed structure of ErMg2Ga9, with properties calculated at the GGA-PBE level.

Values from the calculation:
**DOS at the Fermi energy**: 2.94 states/eV/f.u.
**Formation enthalpy at 0 K**: -0.231 eV/atom

Cell lengths 4.222, 4.222, 12.592 Å; angles 90.00, 90.00, 90.00 degrees
Fractional coordinates of all 12 atoms:
Er 0.000 0.000 0.000
Mg 0.000 0.000 0.335
Mg 0.000 0.000 0.665
Ga 0.000 0.500 0.174
Ga 0.000 0.500 0.500
Ga 0.000 0.500 0.826
Ga 0.500 0.000 0.174
Ga 0.500 0.000 0.500
Ga 0.500 0.000 0.826
Ga 0.500 0.500 0.000
Ga 0.500 0.500 0.332
Ga 0.500 0.500 0.668

The lowest DOS at the Fermi energy belongs to which entry? KPdBrF2

Look up the DOS at the Fermi energy of the sixth one. 3.90 states/eV/f.u.

Copy entry 4 word for word.
Below is a relaxed structure of MnSnPHS, with properties calculated at the GGA-PBE level.

Values from the calculation:
**DOS at the Fermi energy**: 1.51 states/eV/f.u.
**Final energy**: -52.43 eV/cell

Cell lengths 9.959, 3.307, 4.739 Å; angles 90.00, 103.39, 90.00 degrees
Fractional coordinates of all 10 atoms:
Mn 0.000 0.000 0.000
Mn 0.500 0.500 0.000
Sn 0.211 0.500 0.878
Sn 0.711 0.000 0.878
P 0.054 0.500 0.339
P 0.554 0.000 0.339
H 0.396 0.500 0.202
H 0.896 0.000 0.202
S 0.413 0.000 0.644
S 0.913 0.500 0.644